# GGA-PBE CrIrRh2, relaxed
data_CrIrRh2
_chemical_formula_sum 'Cr1 Ir1 Rh2'
_space_group_name_H-M_alt 'P 1'
_space_group_IT_number 1
_space_group_name_Hall 'P 1'
_cell_length_a 4.289
_cell_length_b 2.711
_cell_length_c 4.701
_cell_angle_alpha 90.00
_cell_angle_beta 90.00
_cell_angle_gamma 90.00
loop_
_atom_site_label
_atom_site_type_symbol
_atom_site_fract_x
_atom_site_fract_y
_atom_site_fract_z
Cr1 Cr 0.000 0.625 0.466
Ir1 Ir 0.500 0.625 0.784
Rh1 Rh 0.000 0.125 0.957
Rh2 Rh 0.500 0.125 0.293
# Crystal system: orthorhombic
# DOS(E_F) (states/eV/cell): 3.87
# Electronic total energy (eV/atom): -8.400
# Symmetry: Pmm2 (25)